No. 1
VASP calculation (SCAN) on a PBEsol-optimized structure of LaNi2Pt.

Structure (extended XYZ):
```
4
Lattice="3.3491 0.0000 0.0000 0.0000 3.3491 0.0000 0.0000 0.0000 5.8258" Properties=species:S:1:pos:R:3 pbc="T T T"
La 0.0000 0.0000 0.0000
Ni 1.6745 1.6745 1.7421
Ni 1.6745 1.6745 4.0837
Pt 0.0000 0.0000 2.9129
```

Results
**SG**: P4/mmm, No. 123
**Calculated density**: 11.47 g cm⁻³
**DFT formation energy**: -101 meV per atom
**Magnetic moment**: 0.77 μB/cell


No. 2
VASP calculation (SCAN) on a PBEsol-optimized structure of Ca2MgH2.

Structure (extended XYZ):
```
5
Lattice="-1.9321 1.9321 6.6493 1.9321 -1.9321 6.6493 1.9321 1.9321 -6.6493" Properties=species:S:1:pos:R:3 pbc="T T T"
Ca 0.0000 0.0000 2.1402
Ca 0.0000 0.0000 11.1583
Mg 0.0000 0.0000 6.6493
H 1.9321 0.0000 3.3246
H 0.0000 1.9321 3.3246
```

Results
**SG**: I4/mmm, No. 139
**Calculated density**: 1.78 g cm⁻³
**E**: -6.63 eV per atom
**Magnetic moment**: 0.55 μB/cell


No. 3
VASP calculation (SCAN) on a PBEsol-optimized structure of GeO2.

Structure (extended XYZ):
```
12
Lattice="4.3212 0.0000 0.0000 0.0000 5.3468 0.0000 0.0000 0.0000 4.7908" Properties=species:S:1:pos:R:3 pbc="T T T"
Ge 0.0000 0.8491 1.1977
Ge 0.0000 4.4977 3.5931
Ge 2.1606 1.8243 3.5931
Ge 2.1606 3.5225 1.1977
O 1.0053 0.5985 2.7724
O 1.0053 4.7484 0.3770
O 1.1553 2.0750 0.3770
O 1.1553 3.2719 2.7724
O 3.1658 2.0750 2.0184
O 3.1658 3.2719 4.4138
O 3.3159 0.5985 4.4138
O 3.3159 4.7484 2.0184
```

Results
**SG**: Pbcn, No. 60
**Calculated density**: 6.28 g cm⁻³
**E**: -12.28 eV per atom
**Magnetic moment**: 0.00 μB/cell